Entry 1:
Density functional theory data (meta-GGA SCAN) for a crystal of Cu2SeO4 relaxed with PBEsol.

Cell: 8.864 8.864 8.864 Å, 90.00 90.00 90.00°
Element x y z (fractional)
1 Cu 0.117 0.383 0.617
2 Cu 0.123 0.876 0.136
3 Cu 0.124 0.636 0.377
4 Cu 0.136 0.123 0.876
5 Cu 0.364 0.877 0.376
6 Cu 0.376 0.364 0.877
7 Cu 0.377 0.124 0.636
8 Cu 0.383 0.617 0.117
9 Cu 0.617 0.117 0.383
10 Cu 0.623 0.624 0.864
11 Cu 0.624 0.864 0.623
12 Cu 0.636 0.377 0.124
13 Cu 0.864 0.623 0.624
14 Cu 0.876 0.136 0.123
15 Cu 0.877 0.376 0.364
16 Cu 0.883 0.883 0.883
17 Se 0.040 0.540 0.960
18 Se 0.215 0.215 0.215
19 Se 0.285 0.785 0.715
20 Se 0.460 0.460 0.460
21 Se 0.540 0.960 0.040
22 Se 0.715 0.285 0.785
23 Se 0.785 0.715 0.285
24 Se 0.960 0.040 0.540
25 O 0.010 0.010 0.010
26 O 0.018 0.533 0.765
27 O 0.033 0.277 0.183
28 O 0.033 0.735 0.982
29 O 0.183 0.033 0.277
30 O 0.223 0.817 0.533
31 O 0.235 0.518 0.967
32 O 0.240 0.260 0.740
33 O 0.260 0.740 0.240
34 O 0.265 0.482 0.467
35 O 0.277 0.183 0.033
36 O 0.317 0.967 0.777
37 O 0.467 0.265 0.482
38 O 0.467 0.723 0.683
39 O 0.482 0.467 0.265
40 O 0.490 0.990 0.510
41 O 0.510 0.490 0.990
42 O 0.518 0.967 0.235
43 O 0.533 0.223 0.817
44 O 0.533 0.765 0.018
45 O 0.683 0.467 0.723
46 O 0.723 0.683 0.467
47 O 0.735 0.982 0.033
48 O 0.740 0.240 0.260
49 O 0.760 0.760 0.760
50 O 0.765 0.018 0.533
51 O 0.777 0.317 0.967
52 O 0.817 0.533 0.223
53 O 0.967 0.235 0.518
54 O 0.967 0.777 0.317
55 O 0.982 0.033 0.735
56 O 0.990 0.510 0.490

The calculation puts the excess energy over the best structure of this formula in the dataset at 0.003 eV per atom. As for the uncorrected formation energy: -0.8413 eV/atom. As for the electronic total energy: -11.6130 eV per atom.

***

Entry 2:
Density functional theory data (meta-GGA SCAN) for a crystal of Sm2CuSe4O12 relaxed with PBEsol.

Cell: 10.509 6.910 8.189 Å, 90.00 110.58 90.00°
Element x y z (fractional)
1 Sm 0.079 0.168 0.236
2 Sm 0.079 0.332 0.736
3 Sm 0.921 0.668 0.264
4 Sm 0.921 0.832 0.764
5 Cu 0.500 0.000 0.500
6 Cu 0.500 0.500 0.000
7 Se 0.190 0.680 0.136
8 Se 0.190 0.820 0.636
9 Se 0.365 0.177 0.126
10 Se 0.365 0.323 0.626
11 Se 0.635 0.677 0.374
12 Se 0.635 0.823 0.874
13 Se 0.810 0.180 0.364
14 Se 0.810 0.320 0.864
15 O 0.059 0.650 0.593
16 O 0.059 0.850 0.093
17 O 0.117 0.510 0.230
18 O 0.117 0.990 0.730
19 O 0.149 0.615 0.923
20 O 0.149 0.885 0.423
21 O 0.196 0.225 0.030
22 O 0.196 0.275 0.530
23 O 0.347 0.125 0.327
24 O 0.347 0.375 0.827
25 O 0.440 0.098 0.679
26 O 0.440 0.402 0.179
27 O 0.560 0.598 0.821
28 O 0.560 0.902 0.321
29 O 0.653 0.625 0.173
30 O 0.653 0.875 0.673
31 O 0.804 0.725 0.470
32 O 0.804 0.775 0.970
33 O 0.851 0.115 0.577
34 O 0.851 0.385 0.077
35 O 0.883 0.010 0.270
36 O 0.883 0.490 0.770
37 O 0.941 0.150 0.907
38 O 0.941 0.350 0.407

As for the uncorrected formation energy: -1.7671 eV/atom. As for the electronic total energy: -15.4077 eV per atom. The density of states at the Fermi level comes out at 0.0000 states/eV per atom.

***

Entry 3:
Density functional theory data (meta-GGA SCAN) for a crystal of Sr2CuSeO2 relaxed with PBEsol.

Cell: 3.886 3.886 6.894 Å, 90.00 90.00 90.00°
Element x y z (fractional)
1 Sr 0.000 0.000 0.243
2 Sr 0.000 0.000 0.757
3 Cu 0.500 0.500 0.000
4 Se 0.500 0.500 0.500
5 O 0.000 0.500 0.000
6 O 0.500 0.000 0.000

As for the uncorrected formation energy: -2.0750 eV/atom. As for the electronic total energy: -17.4568 eV per atom. The density of states at the Fermi level comes out at 0.1565 states/eV per atom.

***

Entry 4:
Density functional theory data (meta-GGA SCAN) for a crystal of Sr2CuSe3O9 relaxed with PBEsol.

Cell: 7.136 7.693 8.605 Å, 102.39 105.05 96.28°
Element x y z (fractional)
1 Sr 0.119 0.486 0.307
2 Sr 0.259 0.912 0.106
3 Sr 0.741 0.088 0.894
4 Sr 0.881 0.514 0.693
5 Cu 0.413 0.660 0.750
6 Cu 0.587 0.340 0.250
7 Se 0.130 0.924 0.701
8 Se 0.281 0.366 0.910
9 Se 0.397 0.198 0.534
10 Se 0.603 0.802 0.466
11 Se 0.719 0.634 0.090
12 Se 0.870 0.076 0.299
13 O 0.018 0.130 0.181
14 O 0.034 0.286 0.844
15 O 0.162 0.706 0.614
16 O 0.270 0.594 0.907
17 O 0.306 0.396 0.562
18 O 0.331 0.375 0.120
19 O 0.347 0.006 0.856
20 O 0.374 0.751 0.329
21 O 0.442 0.180 0.343
22 O 0.558 0.820 0.657
23 O 0.626 0.249 0.671
24 O 0.653 0.994 0.144
25 O 0.669 0.625 0.880
26 O 0.694 0.604 0.438
27 O 0.730 0.406 0.093
28 O 0.838 0.294 0.386
29 O 0.966 0.714 0.156
30 O 0.982 0.870 0.819

As for the uncorrected formation energy: -1.6928 eV/atom. As for the electronic total energy: -13.4306 eV per atom. The density of states at the Fermi level comes out at 0.0000 states/eV per atom.

***

Entry 5:
Density functional theory data (meta-GGA SCAN) for a crystal of Tl2Cu3Se6O18 relaxed with PBEsol.

Cell: 4.717 9.619 9.999 Å, 67.48 82.02 79.36°
Element x y z (fractional)
1 Tl 0.060 0.186 0.321
2 Tl 0.940 0.814 0.679
3 Cu 0.293 0.974 0.911
4 Cu 0.500 0.500 0.000
5 Cu 0.707 0.026 0.089
6 Se 0.118 0.287 0.961
7 Se 0.193 0.850 0.327
8 Se 0.415 0.428 0.352
9 Se 0.585 0.572 0.648
10 Se 0.807 0.150 0.673
11 Se 0.882 0.713 0.039
12 O 0.017 0.871 0.179
13 O 0.061 0.401 0.363
14 O 0.080 0.080 0.573
15 O 0.131 0.807 0.902
16 O 0.234 0.355 0.080
17 O 0.376 0.006 0.270
18 O 0.402 0.141 0.957
19 O 0.430 0.753 0.636
20 O 0.484 0.542 0.173
21 O 0.516 0.458 0.827
22 O 0.570 0.247 0.364
23 O 0.598 0.859 0.043
24 O 0.624 0.994 0.730
25 O 0.766 0.645 0.920
26 O 0.869 0.193 0.098
27 O 0.920 0.920 0.427
28 O 0.939 0.599 0.637
29 O 0.983 0.129 0.821

As for the uncorrected formation energy: -0.8485 eV/atom. As for the electronic total energy: -15.4329 eV per atom.

***

Entry 6:
Density functional theory data (meta-GGA SCAN) for a crystal of Cu5Si4O14 relaxed with PBEsol.

Cell: 5.627 7.373 7.477 Å, 67.63 89.67 71.44°
Element x y z (fractional)
1 Cu 0.000 0.000 0.000
2 Cu 0.084 0.606 0.816
3 Cu 0.322 0.581 0.284
4 Cu 0.678 0.419 0.716
5 Cu 0.916 0.394 0.184
6 Si 0.197 0.214 0.586
7 Si 0.490 0.764 0.855
8 Si 0.510 0.236 0.145
9 Si 0.803 0.786 0.414
10 O 0.001 0.786 0.247
11 O 0.092 0.182 0.404
12 O 0.212 0.368 0.052
13 O 0.289 0.416 0.534
14 O 0.316 0.782 0.031
15 O 0.405 0.625 0.754
16 O 0.441 0.002 0.707
17 O 0.559 0.998 0.293
18 O 0.595 0.375 0.246
19 O 0.684 0.218 0.969
20 O 0.711 0.584 0.466
21 O 0.788 0.632 0.948
22 O 0.908 0.818 0.596
23 O 0.999 0.214 0.753

As for the uncorrected formation energy: -1.8218 eV/atom. As for the electronic total energy: -10.6608 eV per atom. The density of states at the Fermi level comes out at 0.1838 states/eV per atom.

***

Entry 7:
Density functional theory data (meta-GGA SCAN) for a crystal of CuSiO3 relaxed with PBEsol.

Cell: 3.500 3.500 3.500 Å, 90.00 90.00 90.00°
Element x y z (fractional)
1 Cu 0.000 0.000 0.000
2 Si 0.500 0.500 0.500
3 O 0.000 0.500 0.500
4 O 0.500 0.000 0.500
5 O 0.500 0.500 0.000

As for the uncorrected formation energy: -1.5347 eV/atom. As for the electronic total energy: -10.3164 eV per atom. The density of states at the Fermi level comes out at 0.9550 states/eV per atom.

***

Entry 8:
Density functional theory data (meta-GGA SCAN) for a crystal of CuSiO3 relaxed with PBEsol.

Cell: 8.746 8.746 8.746 Å, 111.77 111.77 111.77°
Element x y z (fractional)
1 Cu 0.036 0.844 0.455
2 Cu 0.156 0.545 0.964
3 Cu 0.455 0.036 0.844
4 Cu 0.545 0.964 0.156
5 Cu 0.844 0.455 0.036
6 Cu 0.964 0.156 0.545
7 Si 0.288 0.680 0.421
8 Si 0.320 0.579 0.712
9 Si 0.421 0.288 0.680
10 Si 0.579 0.712 0.320
11 Si 0.680 0.421 0.288
12 Si 0.712 0.320 0.579
13 O 0.127 0.447 0.711
14 O 0.127 0.565 0.177
15 O 0.177 0.127 0.565
16 O 0.232 0.525 0.484
17 O 0.289 0.873 0.553
18 O 0.435 0.823 0.873
19 O 0.447 0.711 0.127
20 O 0.475 0.516 0.768
21 O 0.484 0.232 0.525
22 O 0.516 0.768 0.475
23 O 0.525 0.484 0.232
24 O 0.553 0.289 0.873
25 O 0.565 0.177 0.127
26 O 0.711 0.127 0.447
27 O 0.768 0.475 0.516
28 O 0.823 0.873 0.435
29 O 0.873 0.435 0.823
30 O 0.873 0.553 0.289

As for the uncorrected formation energy: -2.1058 eV/atom. As for the electronic total energy: -10.8876 eV per atom.